# 1
A plane-wave DFT calculation with SCAN was carried out for a PBEsol-optimized structure of CaCoRe2.

```
CaCoRe2
1.0
3.018 0.000 0.000
0.000 4.319 0.000
0.000 0.000 4.732
Ca Re Co
1 2 1
direct
0.500 0.000 0.500
0.000 0.000 0.000
0.500 0.500 0.000
0.000 0.500 0.500
```

Calculated volume in Å³/cell: 61.7
Mass density in kg/m³: 12692
Spin magnetization in μB per formula unit: 1.49
Uncorrected energy in eV per cell: -166.91
Excess energy over the best structure of this formula in the dataset in eV/atom: 0.000
Energy of formation from the pure elements in eV/atom: 0.5634

---

# 2
A plane-wave DFT calculation with SCAN was carried out for a PBEsol-optimized structure of MgIrPtC2.

```
MgIrPtC2
1.0
3.929 0.000 0.000
0.000 3.929 0.000
0.000 0.000 4.629
C Mg Ir Pt
2 1 1 1
direct
0.000 0.500 0.000
0.500 0.000 0.000
0.000 0.000 0.000
0.500 0.500 0.500
0.000 0.000 0.500
```

Calculated volume in Å³/cell: 71.5
Mass density in kg/m³: 10123
Spin magnetization in μB per formula unit: 0.00
Uncorrected energy in eV per cell: -152.41
Energy of formation from the pure elements in eV/atom: 2.8110

---

# 3
A plane-wave DFT calculation with SCAN was carried out for a PBEsol-optimized structure of LaBe3Pt.

```
LaBe3Pt
1.0
4.331 0.000 0.000
0.000 4.331 0.000
0.000 0.000 4.331
La Be Pt
1 3 1
direct
0.500 0.500 0.500
0.000 0.500 0.000
0.000 0.000 0.500
0.500 0.000 0.000
0.000 0.000 0.000
```

Calculated volume in Å³/cell: 81.2
Mass density in kg/m³: 7380
Spin magnetization in μB per formula unit: 0.00
Uncorrected energy in eV per cell: -129.06
Excess energy over the best structure of this formula in the dataset in eV/atom: 0.091
Energy of formation from the pure elements in eV/atom: -0.5406

---

# 4
A plane-wave DFT calculation with SCAN was carried out for a PBEsol-optimized structure of SrOs2Br.

```
SrOs2Br
1.0
-1.593 1.925 1.641
-2.711 0.861 -0.920
-5.273 -6.201 4.877
Sr Os Br
1 2 1
direct
0.500 0.500 0.500
0.259 0.259 0.222
0.741 0.741 0.778
0.000 0.000 0.000
```

Calculated volume in Å³/cell: 72.2
Mass density in kg/m³: 12603
Spin magnetization in μB per formula unit: 0.00
Uncorrected energy in eV per cell: -179.40
Excess energy over the best structure of this formula in the dataset in eV/atom: 0.708

---

# 5
A plane-wave DFT calculation with SCAN was carried out for a PBEsol-optimized structure of Tc2PBr.

```
Tc2PBr
1.0
2.970 0.000 0.000
1.485 2.572 0.000
1.485 0.857 7.613
Tc Br P
2 1 1
direct
0.742 0.742 0.775
0.258 0.258 0.225
0.500 0.500 0.500
0.000 0.000 0.000
```

Calculated volume in Å³/cell: 58.1
Mass density in kg/m³: 8764
Spin magnetization in μB per formula unit: 0.00
Uncorrected energy in eV per cell: -98.76
Excess energy over the best structure of this formula in the dataset in eV/atom: 0.028

---

# 6
A plane-wave DFT calculation with SCAN was carried out for a PBEsol-optimized structure of LiHS.

```
LiHS
1.0
-3.604 -1.277 -0.572
1.590 -2.003 -5.541
1.941 -6.836 3.028
H S Li
4 4 4
direct
0.003 0.000 0.439
0.887 0.500 0.998
0.997 0.000 0.939
0.113 0.500 0.498
0.001 0.000 0.763
0.535 0.500 0.998
0.999 0.000 0.263
0.465 0.500 0.498
0.500 0.250 0.247
0.500 0.750 0.747
0.500 0.750 0.247
0.500 0.250 0.747
```

Calculated volume in Å³/cell: 182.2
Mass density in kg/m³: 1459
Spin magnetization in μB per formula unit: 0.00
Uncorrected energy in eV per cell: -72.40

---

Copy entry 5 word for word.
A plane-wave DFT calculation with SCAN was carried out for a PBEsol-optimized structure of Tc2PBr.

```
Tc2PBr
1.0
2.970 0.000 0.000
1.485 2.572 0.000
1.485 0.857 7.613
Tc Br P
2 1 1
direct
0.742 0.742 0.775
0.258 0.258 0.225
0.500 0.500 0.500
0.000 0.000 0.000
```

Calculated volume in Å³/cell: 58.1
Mass density in kg/m³: 8764
Spin magnetization in μB per formula unit: 0.00
Uncorrected energy in eV per cell: -98.76
Excess energy over the best structure of this formula in the dataset in eV/atom: 0.028